A relaxed NdMnZn2N4 crystal, computed with PBE.

a = 5.307 Å, b = 5.307 Å, c = 7.132 Å
α = 90.00°, β = 90.00°, γ = 90.00°
Atoms (fractional coordinates):
1 Nd 0.000 0.000 0.000
2 Nd 0.500 0.500 0.500
3 Mn 0.000 0.000 0.500
4 Mn 0.500 0.500 0.000
5 Zn 0.000 0.500 0.250
6 Zn 0.000 0.500 0.750
7 Zn 0.500 0.000 0.250
8 Zn 0.500 0.000 0.750
9 N 0.197 0.197 0.643
10 N 0.197 0.803 0.357
11 N 0.303 0.303 0.143
12 N 0.303 0.697 0.857
13 N 0.697 0.303 0.857
14 N 0.697 0.697 0.143
15 N 0.803 0.197 0.357
16 N 0.803 0.803 0.643

M_tot: 3.97 Bohr magnetons per cell
Energy relative to the elements, uncorrected: -350 meV/atom
VASP energy: -6.574 eV/atom
Calculated volume: 12.6 A^3/atom

=====

A relaxed MnNiN crystal, computed with PBE.

a = 2.869 Å, b = 3.950 Å, c = 5.390 Å
α = 90.00°, β = 90.00°, γ = 90.00°
Atoms (fractional coordinates):
1 Mn 0.250 0.250 0.133
2 Mn 0.750 0.750 0.867
3 Ni 0.250 0.750 0.459
4 Ni 0.750 0.250 0.541
5 N 0.250 0.750 0.111
6 N 0.750 0.250 0.889

M_tot: 6.04 Bohr magnetons per cell
Energy relative to the elements, uncorrected: -50 meV/atom
VASP energy: -7.809 eV/atom
ΔE to the lowest computed polymorph: 0.00 kcal/mol of atoms
Calculated volume: 10.2 A^3/atom

=====

A relaxed MnNi2N crystal, computed with PBE.

a = 2.732 Å, b = 2.732 Å, c = 21.552 Å
α = 90.00°, β = 90.00°, γ = 120.00°
Atoms (fractional coordinates):
1 Mn 0.000 0.000 0.000
2 Mn 0.333 0.667 0.667
3 Mn 0.667 0.333 0.333
4 Ni 0.000 0.000 0.114
5 Ni 0.000 0.000 0.886
6 Ni 0.333 0.667 0.552
7 Ni 0.333 0.667 0.781
8 Ni 0.667 0.333 0.219
9 Ni 0.667 0.333 0.448
10 N 0.000 0.000 0.500
11 N 0.333 0.667 0.167
12 N 0.667 0.333 0.833

M_tot: 12.59 Bohr magnetons per cell
Energy relative to the elements, uncorrected: 538 meV/atom
VASP energy: -6.727 eV/atom
ΔE to the lowest computed polymorph: 8.18 kcal/mol of atoms
Calculated volume: 11.6 A^3/atom

=====

A relaxed Mn6Ni23N crystal, computed with PBE.

a = 7.891 Å, b = 7.891 Å, c = 7.891 Å
α = 60.00°, β = 60.00°, γ = 60.00°
Atoms (fractional coordinates):
1 Mn 0.191 0.191 0.809
2 Mn 0.191 0.809 0.191
3 Mn 0.191 0.809 0.809
4 Mn 0.809 0.191 0.191
5 Mn 0.809 0.191 0.809
6 Mn 0.809 0.809 0.191
7 Ni 0.000 0.000 0.500
8 Ni 0.000 0.500 0.000
9 Ni 0.000 0.500 0.500
10 Ni 0.143 0.619 0.619
11 Ni 0.169 0.169 0.169
12 Ni 0.169 0.169 0.492
13 Ni 0.169 0.492 0.169
14 Ni 0.381 0.381 0.381
15 Ni 0.381 0.381 0.857
16 Ni 0.381 0.857 0.381
17 Ni 0.492 0.169 0.169
18 Ni 0.500 0.000 0.000
19 Ni 0.500 0.000 0.500
20 Ni 0.500 0.500 0.000
21 Ni 0.500 0.500 0.500
22 Ni 0.508 0.831 0.831
23 Ni 0.619 0.143 0.619
24 Ni 0.619 0.619 0.143
25 Ni 0.619 0.619 0.619
26 Ni 0.831 0.508 0.831
27 Ni 0.831 0.831 0.508
28 Ni 0.831 0.831 0.831
29 Ni 0.857 0.381 0.381
30 N 0.000 0.000 0.000

M_tot: 35.50 Bohr magnetons per cell
Energy relative to the elements, uncorrected: 52 meV/atom
VASP energy: -6.492 eV/atom
Calculated volume: 11.6 A^3/atom

=====

A relaxed MnNiN3 crystal, computed with PBE.

a = 3.580 Å, b = 3.580 Å, c = 3.580 Å
α = 90.00°, β = 90.00°, γ = 90.00°
Atoms (fractional coordinates):
1 Mn 0.000 0.000 0.000
2 Ni 0.500 0.500 0.500
3 N 0.000 0.500 0.500
4 N 0.500 0.000 0.500
5 N 0.500 0.500 0.000

M_tot: 0.00 Bohr magnetons per cell
Energy relative to the elements, uncorrected: 1785 meV/atom
VASP energy: -6.200 eV/atom
Calculated volume: 9.2 A^3/atom

=====

A relaxed MnNiN crystal, computed with PBE.

a = 3.295 Å, b = 3.295 Å, c = 6.036 Å
α = 90.00°, β = 90.00°, γ = 90.00°
Atoms (fractional coordinates):
1 Mn 0.000 0.000 0.000
2 Mn 0.500 0.500 0.500
3 Ni 0.000 0.000 0.395
4 Ni 0.500 0.500 0.895
5 N 0.000 0.000 0.697
6 N 0.500 0.500 0.197

M_tot: 6.29 Bohr magnetons per cell
Energy relative to the elements, uncorrected: 670 meV/atom
VASP energy: -7.089 eV/atom
ΔE to the lowest computed polymorph: 16.59 kcal/mol of atoms
Calculated volume: 10.9 A^3/atom

=====

A relaxed MnNi2N crystal, computed with PBE.

a = 5.509 Å, b = 5.509 Å, c = 5.509 Å
α = 90.00°, β = 90.00°, γ = 90.00°
Atoms (fractional coordinates):
1 Mn 0.000 0.000 0.000
2 Mn 0.000 0.500 0.500
3 Mn 0.500 0.000 0.500
4 Mn 0.500 0.500 0.000
5 Ni 0.250 0.250 0.250
6 Ni 0.250 0.250 0.750
7 Ni 0.250 0.750 0.250
8 Ni 0.250 0.750 0.750
9 Ni 0.750 0.250 0.250
10 Ni 0.750 0.250 0.750
11 Ni 0.750 0.750 0.250
12 Ni 0.750 0.750 0.750
13 N 0.000 0.000 0.500
14 N 0.000 0.500 0.000
15 N 0.500 0.000 0.000
16 N 0.500 0.500 0.500

M_tot: 15.32 Bohr magnetons per cell
Energy relative to the elements, uncorrected: 917 meV/atom
VASP energy: -6.347 eV/atom
ΔE to the lowest computed polymorph: 16.93 kcal/mol of atoms
Calculated volume: 10.4 A^3/atom

=====

A relaxed Mn4Ni2N crystal, computed with PBE.

a = 7.646 Å, b = 7.646 Å, c = 7.646 Å
α = 60.00°, β = 60.00°, γ = 60.00°
Atoms (fractional coordinates):
1 Mn 0.000 0.000 0.000
2 Mn 0.000 0.000 0.500
3 Mn 0.000 0.500 0.000
4 Mn 0.191 0.191 0.559
5 Mn 0.191 0.559 0.191
6 Mn 0.191 0.559 0.559
7 Mn 0.441 0.441 0.809
8 Mn 0.441 0.809 0.441
9 Mn 0.441 0.809 0.809
10 Mn 0.500 0.000 0.000
11 Mn 0.559 0.191 0.191
12 Mn 0.559 0.191 0.559
13 Mn 0.559 0.559 0.191
14 Mn 0.809 0.441 0.441
15 Mn 0.809 0.441 0.809
16 Mn 0.809 0.809 0.441
17 Ni 0.133 0.789 0.789
18 Ni 0.211 0.211 0.211
19 Ni 0.211 0.211 0.867
20 Ni 0.211 0.867 0.211
21 Ni 0.789 0.133 0.789
22 Ni 0.789 0.789 0.133
23 Ni 0.789 0.789 0.789
24 Ni 0.867 0.211 0.211
25 N 0.000 0.500 0.500
26 N 0.500 0.000 0.500
27 N 0.500 0.500 0.000
28 N 0.500 0.500 0.500

M_tot: 52.15 Bohr magnetons per cell
Energy relative to the elements, uncorrected: -82 meV/atom
VASP energy: -8.162 eV/atom
Calculated volume: 11.3 A^3/atom

=====

A relaxed MnNi3N3 crystal, computed with PBE.

a = 7.614 Å, b = 7.614 Å, c = 3.276 Å
α = 90.00°, β = 90.00°, γ = 120.00°
Atoms (fractional coordinates):
1 Mn 0.333 0.667 0.250
2 Mn 0.667 0.333 0.750
3 Ni 0.120 0.762 0.750
4 Ni 0.238 0.359 0.750
5 Ni 0.359 0.120 0.250
6 Ni 0.641 0.880 0.750
7 Ni 0.762 0.641 0.250
8 Ni 0.880 0.238 0.250
9 N 0.156 0.405 0.250
10 N 0.249 0.844 0.250
11 N 0.405 0.249 0.750
12 N 0.595 0.751 0.250
13 N 0.751 0.156 0.750
14 N 0.844 0.595 0.750

M_tot: 0.00 Bohr magnetons per cell
Energy relative to the elements, uncorrected: 132 meV/atom
VASP energy: -7.224 eV/atom
Calculated volume: 11.7 A^3/atom

=====

A relaxed MnNi2N crystal, computed with PBE.

a = 6.549 Å, b = 6.549 Å, c = 4.018 Å
α = 90.00°, β = 90.00°, γ = 90.00°
Atoms (fractional coordinates):
1 Mn 0.000 0.000 0.000
2 Mn 0.000 0.500 0.250
3 Mn 0.500 0.000 0.750
4 Mn 0.500 0.500 0.500
5 Ni 0.136 0.250 0.625
6 Ni 0.250 0.636 0.875
7 Ni 0.250 0.864 0.375
8 Ni 0.364 0.250 0.125
9 Ni 0.636 0.750 0.125
10 Ni 0.750 0.136 0.375
11 Ni 0.750 0.364 0.875
12 Ni 0.864 0.750 0.625
13 N 0.000 0.000 0.500
14 N 0.000 0.500 0.750
15 N 0.500 0.000 0.250
16 N 0.500 0.500 0.000

M_tot: 12.93 Bohr magnetons per cell
Energy relative to the elements, uncorrected: 183 meV/atom
VASP energy: -7.082 eV/atom
ΔE to the lowest computed polymorph: 0.00 kcal/mol of atoms
Calculated volume: 10.8 A^3/atom

=====

A relaxed Mn3Ni3N crystal, computed with PBE.

a = 7.540 Å, b = 7.540 Å, c = 7.540 Å
α = 60.00°, β = 60.00°, γ = 60.00°
Atoms (fractional coordinates):
1 Mn 0.064 0.064 0.686
2 Mn 0.064 0.686 0.064
3 Mn 0.064 0.686 0.686
4 Mn 0.314 0.314 0.936
5 Mn 0.314 0.936 0.314
6 Mn 0.314 0.936 0.936
7 Mn 0.686 0.064 0.064
8 Mn 0.686 0.064 0.686
9 Mn 0.686 0.686 0.064
10 Mn 0.936 0.314 0.314
11 Mn 0.936 0.314 0.936
12 Mn 0.936 0.936 0.314
13 Ni 0.000 0.500 0.500
14 Ni 0.290 0.290 0.290
15 Ni 0.290 0.290 0.630
16 Ni 0.290 0.630 0.290
17 Ni 0.370 0.710 0.710
18 Ni 0.500 0.000 0.500
19 Ni 0.500 0.500 0.000
20 Ni 0.500 0.500 0.500
21 Ni 0.630 0.290 0.290
22 Ni 0.710 0.370 0.710
23 Ni 0.710 0.710 0.370
24 Ni 0.710 0.710 0.710
25 N 0.000 0.000 0.000
26 N 0.000 0.000 0.500
27 N 0.000 0.500 0.000
28 N 0.500 0.000 0.000

M_tot: 41.17 Bohr magnetons per cell
Energy relative to the elements, uncorrected: -127 meV/atom
VASP energy: -7.724 eV/atom
Calculated volume: 10.8 A^3/atom

=====

A relaxed MnNiN crystal, computed with PBE.

a = 2.899 Å, b = 2.899 Å, c = 4.112 Å
α = 90.00°, β = 90.00°, γ = 120.00°
Atoms (fractional coordinates):
1 Mn 0.000 0.000 0.000
2 Ni 0.667 0.333 0.496
3 N 0.333 0.667 0.219

M_tot: 2.20 Bohr magnetons per cell
Energy relative to the elements, uncorrected: 28 meV/atom
VASP energy: -7.730 eV/atom
ΔE to the lowest computed polymorph: 1.80 kcal/mol of atoms
Calculated volume: 10.0 A^3/atom